1.
Density functional theory data (PBE-GGA) for a geometry-optimized K2PdAu2 structure.

Cell lengths 4.711, 5.612, 10.240 Å; angles 90.00, 90.00, 90.00 degrees
Atoms (fractional coordinates):
K 0.000 0.000 0.199
K 0.000 0.000 0.801
K 0.500 0.500 0.301
K 0.500 0.500 0.699
Pd 0.000 0.500 0.000
Pd 0.500 0.000 0.500
Au 0.000 0.255 0.500
Au 0.000 0.745 0.500
Au 0.500 0.245 0.000
Au 0.500 0.755 0.000

- formation energy (eV per formula unit) = -1.18
- E above lowest polymorph (eV per atom) = 0.000
- D(E_F) (states/eV/cell) = 5.45

2.
Density functional theory data (PBE-GGA) for a geometry-optimized Ba3Cd3Pd8 structure.

Cell lengths 9.038, 9.038, 9.038 Å; angles 150.32, 108.63, 79.15 degrees
Atoms (fractional coordinates):
Ba 0.000 0.000 0.000
Ba 0.289 0.289 0.000
Ba 0.711 0.711 0.000
Cd 0.272 0.500 0.772
Cd 0.500 0.000 0.500
Cd 0.728 0.500 0.228
Pd 0.006 0.301 0.705
Pd 0.171 0.894 0.277
Pd 0.383 0.106 0.277
Pd 0.404 0.699 0.705
Pd 0.596 0.301 0.295
Pd 0.617 0.894 0.723
Pd 0.829 0.106 0.723
Pd 0.994 0.699 0.295

- formation energy (eV per formula unit) = -6.19
- D(E_F) (states/eV/cell) = 5.92

3.
Density functional theory data (PBE-GGA) for a geometry-optimized Nd6DyY2 structure.

Cell lengths 8.904, 8.904, 9.118 Å; angles 91.47, 91.47, 61.24 degrees
Atoms (fractional coordinates):
Nd 0.018 0.304 0.474
Nd 0.088 0.775 0.894
Nd 0.225 0.912 0.606
Nd 0.304 0.018 0.974
Nd 0.379 0.399 0.578
Nd 0.399 0.379 0.078
Nd 0.601 0.621 0.922
Nd 0.621 0.601 0.422
Nd 0.696 0.982 0.026
Nd 0.775 0.088 0.394
Nd 0.912 0.225 0.106
Nd 0.982 0.696 0.526
Dy 0.204 0.796 0.250
Dy 0.796 0.204 0.750
Y 0.046 0.416 0.822
Y 0.416 0.046 0.322
Y 0.584 0.954 0.678
Y 0.954 0.584 0.178

- formation energy (eV per formula unit) = 1.67
- E above lowest polymorph (eV per atom) = 0.032
- D(E_F) (states/eV/cell) = 26.83

4.
Density functional theory data (PBE-GGA) for a geometry-optimized Tb4Bi2SbAs structure.

Cell lengths 7.585, 4.363, 7.620 Å; angles 90.00, 109.22, 90.00 degrees
Atoms (fractional coordinates):
Tb 0.236 0.000 0.232
Tb 0.246 0.500 0.762
Tb 0.754 0.500 0.238
Tb 0.764 0.000 0.768
Bi 0.000 0.000 0.500
Bi 0.500 0.500 0.500
Sb 0.500 0.000 0.000
As 0.000 0.500 0.000

- D(E_F) (states/eV/cell) = 1.21
- energy relative to the elements, uncorrected (meV per atom) = -1087

5.
Density functional theory data (PBE-GGA) for a geometry-optimized Sr2CoPt structure.

Cell lengths 8.030, 8.030, 6.341 Å; angles 90.00, 90.00, 90.00 degrees
Atoms (fractional coordinates):
Sr 0.248 0.250 0.125
Sr 0.250 0.748 0.375
Sr 0.250 0.752 0.875
Sr 0.252 0.250 0.625
Sr 0.748 0.750 0.625
Sr 0.750 0.248 0.875
Sr 0.750 0.252 0.375
Sr 0.752 0.750 0.125
Co 0.000 0.000 0.000
Co 0.000 0.500 0.250
Co 0.500 0.000 0.750
Co 0.500 0.500 0.500
Pt 0.000 0.000 0.500
Pt 0.000 0.500 0.750
Pt 0.500 0.000 0.250
Pt 0.500 0.500 0.000

- formation energy (eV per formula unit) = 1.06
- D(E_F) (states/eV/cell) = 27.56

6.
Density functional theory data (PBE-GGA) for a geometry-optimized BiAuN2 structure.

Cell lengths 3.287, 6.383, 11.872 Å; angles 89.50, 83.44, 90.00 degrees
Atoms (fractional coordinates):
Bi 0.062 0.252 0.350
Bi 0.938 0.748 0.650
Au 0.500 0.000 0.500
Au 0.500 0.500 0.500
N 0.307 0.157 0.895
N 0.307 0.332 0.896
N 0.693 0.668 0.104
N 0.693 0.843 0.105

- energy relative to the elements, uncorrected (meV per atom) = 65

| no. | total energy (eV/f.u.) | volume (Å³ per cell) |
| --- | --- | --- |
| 1 | -15.12 | 270.7 |
| 2 | -56.25 | 340.1 |
| 3 | -44.46 | 633.5 |
| 4 | -43.75 | 238.1 |
| 5 | -15.45 | 408.9 |
| 6 | -23.55 | 247.4 |